Nd5TmAl3 | GGA-PBE | relaxed

a = 9.2856 Å, b = 9.2856 Å, c = 6.8097 Å
α = 90.00°, β = 90.00°, γ = 120.00°
Space group P6_3/mcm (No. 193)
Symmetry-distinct sites (fractional):
1 Nd 0.0000 0.3352 0.2500 (multiplicity 6)
2 Nd 0.3333 0.6667 0.0000 (multiplicity 4)
3 Tm 0.0000 0.0000 0.0000 (multiplicity 2)
4 Al 0.0000 0.3256 0.7500 (multiplicity 6)

electronic total energy: -4.63 eV/atom
density of states at the Fermi level: 10.54 states/eV/f.u.
energy relative to the elements: -202 kJ/mol of formula units

=====

NdTm2Al | GGA-PBE | relaxed

a = 3.511 Å, b = 3.511 Å, c = 8.993 Å
α = 90.00°, β = 90.00°, γ = 90.00°
Space group P4/mmm (No. 123)
Symmetry-distinct sites (fractional):
1 Nd 0.000 0.000 0.000 (multiplicity 1)
2 Tm 0.500 0.500 0.292 (multiplicity 2)
3 Al 0.000 0.000 0.500 (multiplicity 1)

electronic total energy: -4.56 eV/atom
density of states at the Fermi level: 3.02 states/eV/f.u.
energy relative to the elements: -78 kJ/mol of formula units

=====

NdYTmAl | GGA-PBE | relaxed

a = 7.624 Å, b = 7.624 Å, c = 7.624 Å
α = 90.00°, β = 90.00°, γ = 90.00°
Space group F-43m (No. 216)
Symmetry-distinct sites (fractional):
1 Nd 0.000 0.000 0.000 (multiplicity 4)
2 Y 0.000 0.000 0.500 (multiplicity 4)
3 Tm 0.250 0.250 0.250 (multiplicity 4)
4 Al 0.250 0.250 0.750 (multiplicity 4)

electronic total energy: -4.93 eV/atom
density of states at the Fermi level: 6.71 states/eV/f.u.
energy relative to the elements: -28 kJ/mol of formula units